[1]
# KTc5S8, optimized geometry, DFT PBE
# - VASP energy (eV per atom) = -6.669
data_KTc5S8
_space_group_name_H-M_alt 'C 1 m 1'
_space_group_IT_number 8
_space_group_name_Hall 'C -2y'
_cell_length_a 21.325
_cell_length_b 3.112
_cell_length_c 8.953
_cell_angle_alpha 90.00
_cell_angle_beta 107.02
_cell_angle_gamma 90.00
loop_
_atom_site_label
_atom_site_fract_x
_atom_site_fract_y
_atom_site_fract_z
K1 0.000 0.000 0.000
Tc1 0.096 0.000 0.537
Tc2 0.184 0.000 0.840
Tc3 0.250 0.500 0.092
Tc4 0.344 0.500 0.386
Tc5 0.468 0.000 0.459
S1 0.019 0.000 0.666
S2 0.059 0.500 0.332
S3 0.137 0.500 0.968
S4 0.186 0.500 0.619
S5 0.253 0.000 0.316
S6 0.296 0.000 0.964
S7 0.382 0.000 0.591
S8 0.418 0.500 0.250

[2]
# AcErSn3, optimized geometry, DFT PBE
# - DFT formation energy (eV per atom) = -0.449
# - VASP energy (eV per atom) = -4.585
data_AcErSn3
_space_group_name_H-M_alt 'C 1 2/c 1'
_space_group_IT_number 15
_space_group_name_Hall '-C 2yc'
_cell_length_a 11.158
_cell_length_b 17.151
_cell_length_c 6.485
_cell_angle_alpha 90.00
_cell_angle_beta 90.85
_cell_angle_gamma 90.00
loop_
_atom_site_label
_atom_site_fract_x
_atom_site_fract_y
_atom_site_fract_z
Ac1 0.169 0.073 0.435
Er1 0.000 0.270 0.250
Er2 0.000 0.421 0.750
Sn1 0.107 0.136 0.939
Sn2 0.141 0.421 0.158
Sn3 0.163 0.269 0.675

[3]
# CuSeS2, optimized geometry, DFT PBE
# - VASP energy (eV per atom) = -3.715
data_CuSeS2
_space_group_name_H-M_alt 'I -4 2 d'
_space_group_IT_number 122
_space_group_name_Hall 'I -4 2bw'
_cell_length_a 5.200
_cell_length_b 5.200
_cell_length_c 12.542
_cell_angle_alpha 90.00
_cell_angle_beta 90.00
_cell_angle_gamma 90.00
loop_
_atom_site_label
_atom_site_fract_x
_atom_site_fract_y
_atom_site_fract_z
Cu1 0.000 0.000 0.000
Se1 0.000 0.000 0.500
S1 0.221 0.250 0.125

[4]
# Ce2CuIr, optimized geometry, DFT PBE
# - DFT formation energy (eV per atom) = -0.378
# - VASP energy (eV per atom) = -6.584
data_Ce2CuIr
_space_group_name_H-M_alt 'P 4/m m m'
_space_group_IT_number 123
_space_group_name_Hall '-P 4 2'
_cell_length_a 4.890
_cell_length_b 4.890
_cell_length_c 3.586
_cell_angle_alpha 90.00
_cell_angle_beta 90.00
_cell_angle_gamma 90.00
loop_
_atom_site_label
_atom_site_fract_x
_atom_site_fract_y
_atom_site_fract_z
Ce1 0.000 0.500 0.000
Cu1 0.000 0.000 0.500
Ir1 0.500 0.500 0.500

[5]
# Ta2Be2GeRu5, optimized geometry, DFT PBE
# - DFT formation energy (eV per atom) = -0.428
# - VASP energy (eV per atom) = -8.643
data_Ta2Be2GeRu5
_space_group_name_H-M_alt 'P 4/m b m'
_space_group_IT_number 127
_space_group_name_Hall '-P 4 2ab'
_cell_length_a 9.302
_cell_length_b 9.302
_cell_length_c 3.098
_cell_angle_alpha 90.00
_cell_angle_beta 90.00
_cell_angle_gamma 90.00
loop_
_atom_site_label
_atom_site_fract_x
_atom_site_fract_y
_atom_site_fract_z
Ta1 0.174 0.326 0.000
Be1 0.124 0.624 0.000
Ge1 0.000 0.000 0.000
Ru1 0.000 0.500 0.500
Ru2 0.070 0.793 0.500

[6]
# GeTeW2, optimized geometry, DFT PBE
# - energy relative to the lowest polymorph listed for this composition (eV/atom) = 0.265
# - VASP energy (eV per atom) = -7.550
data_GeTeW2
_space_group_name_H-M_alt 'I -4 2 d'
_space_group_IT_number 122
_space_group_name_Hall 'I -4 2bw'
_cell_length_a 4.199
_cell_length_b 4.199
_cell_length_c 18.184
_cell_angle_alpha 90.00
_cell_angle_beta 90.00
_cell_angle_gamma 90.00
loop_
_atom_site_label
_atom_site_fract_x
_atom_site_fract_y
_atom_site_fract_z
Ge1 0.000 0.000 0.000
Te1 0.000 0.000 0.500
W1 0.188 0.250 0.125